# 1
NaEr2Zr (PBE, optimized geometry); volume = 120 Å³/cell; total magnetization = 0.001 μB per formula unit; distance to the lowest polymorph of the same formula = 50 meV per atom; space group = R-3m (166); final energy = -18.33 eV per cell; formation energy from the elements = 165.0 meV per atom; DOS(E_F) = 3.4 states/eV/cell
1.0
1.689 0.975 12.129
-1.689 0.975 12.129
0.000 -1.951 12.129
Na Er Zr
1 2 1
Direct
0.000 0.000 0.000
0.095 0.095 0.095
0.905 0.905 0.905
0.500 0.500 0.500


# 2
FeTe2Pb (PBE, optimized geometry); volume = 107 Å³/cell; formation energy from raw total energies = 0.432 eV per atom; total magnetization = 3.155 μB per formula unit; space group = P4/mmm (123); final energy = -16.72 eV per cell; DOS(E_F) = 5.5 states/eV/cell
1.0
5.338 0.000 0.000
0.000 5.338 0.000
0.000 0.000 3.739
Fe Te Pb
1 2 1
Direct
0.000 0.000 0.000
0.000 0.500 0.500
0.500 0.000 0.500
0.500 0.500 0.000


# 3
FeBP2Cl (PBE, optimized geometry); volume = 69 Å³/cell; formation energy from raw total energies = 1.148 eV per atom; total magnetization = 0.000 μB per formula unit; distance to the lowest polymorph of the same formula = 23 meV per atom; space group = P4/mmm (123); final energy = -22.07 eV per cell; DOS(E_F) = 3.0 states/eV/cell
1.0
3.971 0.000 0.000
0.000 3.971 0.000
0.000 0.000 4.362
Fe B P Cl
1 1 2 1
Direct
0.000 0.000 0.000
0.500 0.500 0.500
0.000 0.500 0.500
0.500 0.000 0.500
0.500 0.500 0.000


# 4
K3Nd2NpO6 (PBE, optimized geometry); volume = 214 Å³/cell; formation energy from raw total energies = -2.464 eV per atom; total magnetization = 4.010 μB per formula unit; space group = C2/m (12); final energy = -85.09 eV per cell; DOS(E_F) = 9.8 states/eV/cell
1.0
3.131 -5.423 0.000
3.131 5.423 0.000
-2.089 0.000 6.315
K Nd Np O
3 2 1 6
Direct
0.000 0.000 0.000
0.334 0.666 0.000
0.666 0.334 0.000
0.167 0.833 0.500
0.833 0.167 0.500
0.500 0.500 0.500
0.113 0.436 0.309
0.240 0.240 0.690
0.436 0.113 0.309
0.564 0.887 0.691
0.760 0.760 0.310
0.887 0.564 0.691


# 5
TbHo2Sc3P6 (PBE, optimized geometry); volume = 248 Å³/cell; total magnetization = 0.000 μB per formula unit; space group = C2/m (12); final energy = -83.68 eV per cell; formation energy from the elements = -1536.8 meV per atom; DOS(E_F) = 2.1 states/eV/cell
1.0
3.364 -5.827 0.000
3.364 5.827 0.000
-2.240 0.000 6.321
Tb Ho Sc P
1 2 3 6
Direct
0.000 0.000 0.000
0.333 0.667 0.000
0.667 0.333 0.000
0.166 0.834 0.500
0.500 0.500 0.500
0.834 0.166 0.500
0.088 0.423 0.265
0.247 0.247 0.735
0.423 0.088 0.265
0.577 0.912 0.735
0.753 0.753 0.265
0.912 0.577 0.735


# 6
BaTl12Sb4 (PBE, optimized geometry); volume = 618 Å³/cell; formation energy from raw total energies = -0.002 eV per atom; total magnetization = 0.000 μB per formula unit; space group = Im-3 (204); final energy = -46.85 eV per cell; DOS(E_F) = 4.0 states/eV/cell
1.0
-5.367 5.367 5.367
5.367 -5.367 5.367
5.367 5.367 -5.367
Ba Tl Sb
1 12 4
Direct
0.000 0.000 0.000
0.146 0.499 0.353
0.146 0.793 0.647
0.207 0.353 0.854
0.353 0.146 0.499
0.353 0.854 0.207
0.499 0.353 0.146
0.501 0.647 0.854
0.647 0.146 0.793
0.647 0.854 0.501
0.793 0.647 0.146
0.854 0.207 0.353
0.854 0.501 0.647
0.000 0.000 0.500
0.000 0.500 0.000
0.500 0.000 0.000
0.500 0.500 0.500


# 7
Tb3Co2 (PBE, optimized geometry); volume = 235 Å³/cell; total magnetization = 0.000 μB per formula unit; distance to the lowest polymorph of the same formula = 39 meV per atom; space group = R-3c (167); final energy = -57.20 eV per cell; formation energy from the elements = -99.4 meV per atom; DOS(E_F) = 5.9 states/eV/cell
1.0
3.331 1.923 6.102
-3.331 1.923 6.102
0.000 -3.847 6.102
Tb Co
6 4
Direct
0.103 0.750 0.397
0.250 0.603 0.897
0.397 0.103 0.750
0.603 0.897 0.250
0.750 0.397 0.103
0.897 0.250 0.603
0.178 0.178 0.178
0.322 0.322 0.322
0.678 0.678 0.678
0.822 0.822 0.822


# 8
YPuSnPd (PBE, optimized geometry); volume = 99 Å³/cell; total magnetization = 5.462 μB per formula unit; space group = F-43m (216); final energy = -31.97 eV per cell; formation energy from the elements = -495.2 meV per atom; DOS(E_F) = 11.0 states/eV/cell
1.0
0.000 3.674 3.674
3.674 0.000 3.674
3.674 3.674 0.000
Y Pu Sn Pd
1 1 1 1
Direct
0.000 0.000 0.000
0.500 0.500 0.500
0.250 0.250 0.250
0.750 0.750 0.750